Record 1
K2AgSe2O6 PBE optimized geometry; uncorrected formation energy = -1012 meV per atom; N(E_F) = 0.27 states/eV per atom
1.0
5.592 0.000 0.000
-2.796 6.089 -0.210
0.000 -3.815 6.954
K Ag Se O
2 1 2 6
Direct
0.724 0.448 0.266
0.276 0.552 0.734
0.500 0.000 0.500
0.016 0.033 0.806
0.984 0.967 0.194
0.855 0.710 0.659
0.173 0.851 0.254
0.322 0.149 0.746
0.827 0.149 0.746
0.678 0.851 0.254
0.145 0.290 0.341

---

Record 2
TaIn2I6 PBE optimized geometry; uncorrected formation energy = -422 meV per atom; N(E_F) = 0.63 states/eV per atom
1.0
-2.379 -2.260 -7.153
-6.298 -4.492 3.513
-6.489 9.059 -0.050
Ta In I
2 4 12
Direct
0.500 0.500 0.000
0.000 0.000 0.500
0.970 0.397 0.776
0.530 0.897 0.724
0.470 0.103 0.276
0.030 0.603 0.224
0.887 0.977 0.258
0.827 0.722 0.551
0.791 0.678 0.953
0.709 0.178 0.547
0.673 0.222 0.949
0.613 0.477 0.242
0.113 0.023 0.742
0.173 0.278 0.449
0.209 0.322 0.047
0.291 0.822 0.453
0.327 0.778 0.051
0.387 0.523 0.758

---

Record 3
MgBe2W PBE optimized geometry; energy of formation from the pure elements = 0.2149 eV/atom; N(E_F) = 0.20 states/eV per atom
1.0
4.257 0.105 0.000
-0.127 4.257 0.000
0.000 0.000 2.782
Be Mg W
2 1 1
Direct
0.000 0.000 0.000
0.500 0.500 0.000
0.500 0.000 0.500
0.000 0.500 0.500

---

Record 4
PW2 PBE optimized geometry; energy of formation from the pure elements = 0.1551 eV/atom; N(E_F) = 0.46 states/eV per atom
1.0
-0.906 1.507 3.972
-2.510 -3.062 -1.786
1.629 -1.993 1.128
P W
1 2
Direct
0.000 0.000 0.000
0.333 0.667 0.811
0.667 0.333 0.189

---

Record 5
Ho6AsO12 PBE optimized geometry; uncorrected formation energy = -3081 meV per atom; N(E_F) = 0.50 states/eV per atom
1.0
6.387 0.005 0.006
-0.963 6.314 0.006
-0.963 -1.122 6.213
Ho As O
6 1 12
Direct
0.701 0.860 0.390
0.610 0.299 0.140
0.140 0.610 0.299
0.299 0.140 0.610
0.390 0.701 0.860
0.860 0.390 0.701
0.000 0.000 0.000
0.822 0.560 0.409
0.409 0.822 0.560
0.560 0.409 0.822
0.178 0.440 0.591
0.591 0.178 0.440
0.440 0.591 0.178
0.065 0.967 0.293
0.033 0.707 0.935
0.707 0.935 0.033
0.935 0.033 0.707
0.967 0.293 0.065
0.293 0.065 0.967

---

Record 6
AlZnCd PBE optimized geometry; energy above the most stable polymorph in this dataset = 0.1570 eV/atom; energy of formation from the pure elements = 0.2373 eV/atom; N(E_F) = 0.38 states/eV per atom
1.0
4.475 0.000 0.000
2.237 3.875 0.000
2.237 1.292 3.654
Zn Al Cd
1 1 1
Direct
0.000 0.000 0.000
0.500 0.500 0.500
0.250 0.250 0.250

---

Record 7
Cs2NaHfI6 PBE optimized geometry; energy above the most stable polymorph in this dataset = 0.0000 eV/atom; uncorrected formation energy = -1162 meV per atom; N(E_F) = 0.56 states/eV per atom
1.0
8.509 0.000 0.000
4.255 7.369 0.000
4.255 2.456 14.535
Cs Na Hf I
4 2 2 12
Direct
0.874 0.874 0.378
0.126 0.126 0.622
0.702 0.702 0.894
0.298 0.298 0.106
0.584 0.584 0.247
0.416 0.416 0.753
0.000 0.000 0.000
0.500 0.500 0.500
0.865 0.374 0.387
0.374 0.865 0.387
0.374 0.374 0.387
0.135 0.626 0.613
0.626 0.135 0.613
0.626 0.626 0.613
0.719 0.199 0.884
0.199 0.719 0.884
0.199 0.199 0.884
0.281 0.801 0.116
0.801 0.281 0.116
0.801 0.801 0.116

---

Record 8
NdEuAl4 PBE optimized geometry; energy of formation from the pure elements = -0.4468 eV/atom; N(E_F) = 0.86 states/eV per atom
1.0
-1.320 -5.442 1.005
2.525 -2.799 4.261
-2.975 -1.395 4.645
Eu Nd Al
1 1 4
Direct
0.250 0.250 0.250
0.000 0.000 0.000
0.625 0.625 0.125
0.625 0.125 0.625
0.625 0.625 0.625
0.125 0.625 0.625

---

Number 1: total DFT energy (no corrections) -4.81 eV per atom. Number 2: total DFT energy (no corrections) -3.38 eV per atom. Number 3: total DFT energy (no corrections) -5.29 eV per atom. Number 4: total DFT energy (no corrections) -10.28 eV per atom. Number 5: total DFT energy (no corrections) -7.90 eV per atom. Number 6: total DFT energy (no corrections) -1.74 eV per atom. Number 7: total DFT energy (no corrections) -3.39 eV per atom. Number 8: total DFT energy (no corrections) -5.45 eV per atom.